The following is a PBE-GGA calculation of crystalline LiZn4Co at its relaxed geometry, from the Alexandria database.

Computed properties:
N(E_F) (states/eV/f.u.): 3.397
Final energy (Ry per atom): -0.179
SG: P-1
Energy of formation from the pure elements (meV/atom): -76

Cell: 5.0303 4.1652 6.5536 Å, 108.91 120.31 114.32°
Closest atoms and distances in Å follow each position.
Fractional positions:
Li1 0.5000 0.5000 0.0000  8 Zn 2.51-2.56
Zn1 0.6770 0.8385 0.5007  2 Co 2.55-2.56, 2 Li 2.55-2.56, 4 Zn 2.64-2.69
Zn2 0.3230 0.1615 0.4993  2 Co 2.55-2.56, 2 Li 2.55-2.56, 4 Zn 2.64-2.69
Zn3 0.8077 0.1537 0.0009  2 Li 2.51, 2 Co 2.51-2.52, 5 Zn 2.68-2.81
Zn4 0.1923 0.8463 0.9991  2 Li 2.51, 2 Co 2.51-2.52, 5 Zn 2.68-2.81
Co1 0.0000 0.5000 0.5000  8 Zn 2.51-2.56